Ac2Bi4Pd3Pt: optimized geometry, PBE.

CIF file:
```
data_Ac2Bi4Pd3Pt
_space_group_name_H-M_alt 'P 1'
_space_group_IT_number 1
_space_group_name_Hall 'P 1'
_cell_length_a 4.932
_cell_length_b 4.932
_cell_length_c 10.797
_cell_angle_alpha 90.00
_cell_angle_beta 90.00
_cell_angle_gamma 90.00
loop_
_atom_site_label
_atom_site_type_symbol
_atom_site_fract_x
_atom_site_fract_y
_atom_site_fract_z
Ac1 Ac 0.500 0.000 0.270
Ac2 Ac 0.000 0.500 0.730
Bi1 Bi 0.500 0.500 0.000
Bi2 Bi 0.000 0.000 0.000
Bi3 Bi 0.500 0.000 0.625
Bi4 Bi 0.000 0.500 0.375
Pd1 Pd 0.000 0.000 0.500
Pd2 Pd 0.500 0.000 0.875
Pd3 Pd 0.000 0.500 0.125
Pt1 Pt 0.500 0.500 0.500
```

***

Ac3Bi2Pd4Pt2: optimized geometry, PBE.

CIF file:
```
data_Ac3Bi2Pd4Pt2
_space_group_name_H-M_alt 'P 1'
_space_group_IT_number 1
_space_group_name_Hall 'P 1'
_cell_length_a 4.647
_cell_length_b 4.647
_cell_length_c 15.440
_cell_angle_alpha 90.00
_cell_angle_beta 90.00
_cell_angle_gamma 120.00
loop_
_atom_site_label
_atom_site_type_symbol
_atom_site_fract_x
_atom_site_fract_y
_atom_site_fract_z
Ac1 Ac 0.000 0.000 0.744
Ac2 Ac 0.000 0.000 0.000
Ac3 Ac 0.000 0.000 0.256
Bi1 Bi 0.667 0.333 0.420
Bi2 Bi 0.333 0.667 0.580
Pd1 Pd 0.667 0.333 0.130
Pd2 Pd 0.333 0.667 0.870
Pd3 Pd 0.667 0.333 0.611
Pd4 Pd 0.333 0.667 0.389
Pt1 Pt 0.667 0.333 0.869
Pt2 Pt 0.333 0.667 0.131
```

***

Ac2Bi3PdRh4: optimized geometry, PBE.

CIF file:
```
data_Ac2Bi3PdRh4
_space_group_name_H-M_alt 'P 1'
_space_group_IT_number 1
_space_group_name_Hall 'P 1'
_cell_length_a 4.302
_cell_length_b 4.302
_cell_length_c 12.640
_cell_angle_alpha 90.00
_cell_angle_beta 90.00
_cell_angle_gamma 90.00
loop_
_atom_site_label
_atom_site_type_symbol
_atom_site_fract_x
_atom_site_fract_y
_atom_site_fract_z
Ac1 Ac 0.500 0.000 0.278
Ac2 Ac 0.000 0.500 0.722
Bi1 Bi 0.000 0.000 0.500
Bi2 Bi 0.500 0.000 0.872
Bi3 Bi 0.000 0.500 0.128
Pd1 Pd 0.500 0.500 0.500
Rh1 Rh 0.500 0.500 0.000
Rh2 Rh 0.000 0.000 0.000
Rh3 Rh 0.500 0.000 0.658
Rh4 Rh 0.000 0.500 0.342
```

***

The energy of formation results, record by record, are as follows: -0.667, -0.722, -0.519 eV/atom.